# 1
A plane-wave DFT calculation with PBE was carried out for a geometry-optimized TaNb2Al structure.

Structure (POSCAR):
```
TaNb2Al
1.0
-0.9699 3.1420 -0.8706
-2.8556 -0.3803 1.8088
2.8202 2.2344 4.9220
Nb Al Ta
2 1 1
direct
0.0000 0.0000 0.7556
0.0000 0.0000 0.2444
0.5000 0.5000 0.0000
0.5000 0.5000 0.5000
```

Summary:
- DOS(E_F): 3.20 states/eV/cell
- Formation energy from the elements: -0.18 eV/atom
- Crystal system: tetragonal
- SG: P4/mmm

***

# 2
A plane-wave DFT calculation with PBE was carried out for a geometry-optimized BaCaCo2 structure.

Structure (POSCAR):
```
BaCaCo2
1.0
-2.9237 1.9197 3.5722
-4.4850 -2.0129 0.9093
-0.7843 -2.5510 4.2274
Ca Co Ba
1 2 1
direct
0.7500 0.7500 0.7500
0.0000 0.0000 0.0000
0.2500 0.2500 0.2500
0.5000 0.5000 0.5000
```

Summary:
- DOS(E_F): 7.38 states/eV/cell
- Formation energy from the elements: 0.81 eV/atom
- Crystal system: cubic
- SG: F-43m

***

# 3
A plane-wave DFT calculation with PBE was carried out for a geometry-optimized Zn2MoCl structure.

Structure (POSCAR):
```
Zn2MoCl
1.0
2.8617 0.0000 0.0000
0.0000 4.0714 0.0000
0.0000 0.0000 5.5622
Cl Mo Zn
1 1 2
direct
0.0000 0.0000 0.5195
0.5000 0.5000 0.7563
0.0000 0.0000 0.9912
0.5000 0.5000 0.2330
```

Summary:
- DOS(E_F): 2.75 states/eV/cell
- Crystal system: orthorhombic
- SG: Pmm2
- ΔE_f (raw): 370.1 meV/atom

***

# 4
A plane-wave DFT calculation with PBE was carried out for a geometry-optimized InPd2Se structure.

Structure (POSCAR):
```
InPd2Se
1.0
3.9347 0.0000 0.0000
1.9673 3.4075 0.0000
1.9673 1.1358 5.9292
In Pd Se
1 2 1
direct
0.4983 0.4983 0.5050
0.0792 0.0792 0.7623
0.2520 0.2520 0.2439
0.6704 0.6704 0.9888
```

Summary:
- DOS(E_F): 1.43 states/eV/cell
- Crystal system: trigonal
- SG: R3m
- ΔE_f (raw): -252.9 meV/atom

***

# 5
A plane-wave DFT calculation with PBE was carried out for a geometry-optimized Sr2ZnCu2 structure.

Structure (POSCAR):
```
Sr2ZnCu2
1.0
-5.5762 4.6566 2.5955
-4.5186 -6.1214 1.2747
1.5723 -0.3329 3.9752
Sr Zn Cu
4 2 4
direct
0.1827 0.6827 0.5000
0.6827 0.8173 0.5000
0.8173 0.3173 0.5000
0.3173 0.1827 0.5000
0.0000 0.0000 0.0000
0.5000 0.5000 0.0000
0.3866 0.8866 0.0000
0.8866 0.6134 0.0000
0.6134 0.1134 0.0000
0.1134 0.3866 0.0000
```

Summary:
- DOS(E_F): 5.45 states/eV/cell
- Formation energy from the elements: -0.05 eV/atom
- Crystal system: tetragonal
- SG: P4/mbm

***

# 6
A plane-wave DFT calculation with PBE was carried out for a geometry-optimized Sm4AgPt structure.

Structure (POSCAR):
```
Sm4AgPt
1.0
-6.4959 -1.4074 4.6682
5.8757 -5.5689 0.6583
3.1593 7.0914 2.3878
Sm Ag Pt
8 2 2
direct
0.2634 0.9597 0.6962
0.7365 0.4394 0.7029
0.7097 0.5134 0.1962
0.1894 0.9865 0.2029
0.3172 0.5134 0.8038
0.7835 0.9865 0.7971
0.7365 0.0335 0.2971
0.2634 0.5672 0.3038
0.2492 0.2492 0.0000
0.9992 0.4992 0.5000
0.7510 0.7510 0.0000
0.5010 0.0010 0.5000
```

Summary:
- DOS(E_F): 18.94 states/eV/cell
- Formation energy from the elements: -0.25 eV/atom
- Crystal system: tetragonal
- SG: I4_1md

***

# 7
A plane-wave DFT calculation with PBE was carried out for a geometry-optimized Sr2Cd6PdRh structure.

Structure (POSCAR):
```
Sr2Cd6PdRh
1.0
-0.7224 3.8723 -6.2339
2.9572 -5.5793 -3.8084
-3.6318 -2.8851 -5.7327
Sr Cd Pd Rh
2 6 1 1
direct
0.2500 0.7500 0.5000
0.7500 0.2500 0.5000
0.2491 0.7509 0.0000
0.7509 0.7509 0.0000
0.2491 0.2491 0.5018
0.7509 0.2491 0.0000
0.2491 0.2491 0.0000
0.7509 0.7509 0.4982
0.5000 0.5000 0.0000
0.0000 0.0000 0.0000
```

Summary:
- DOS(E_F): 5.76 states/eV/cell
- Formation energy from the elements: -0.22 eV/atom
- Crystal system: cubic
- SG: Fm-3m

***

# 8
A plane-wave DFT calculation with PBE was carried out for a geometry-optimized CdIn2Au6 structure.

Structure (POSCAR):
```
CdIn2Au6
1.0
5.0470 0.1332 -0.0900
-0.2986 7.8211 -4.3498
0.1482 -0.1192 8.9522
Cd In Au
2 4 12
direct
0.2500 0.2499 0.7501
0.7500 0.7501 0.2499
0.4998 0.6609 0.8391
0.0002 0.1609 0.3391
0.5002 0.3391 0.1609
0.9998 0.8391 0.6609
0.5001 0.6654 0.5036
0.9999 0.4964 0.3346
0.4999 0.3346 0.4964
0.0001 0.5036 0.6654
0.2530 0.9141 0.4141
0.2470 0.5859 0.0859
0.7470 0.0859 0.5859
0.7530 0.4141 0.9141
0.9998 0.8345 0.9962
0.5002 0.0038 0.1655
0.0002 0.1655 0.0038
0.4998 0.9962 0.8345
```

Summary:
- DOS(E_F): 3.54 states/eV/cell
- Formation energy from the elements: -0.13 eV/atom
- Crystal system: monoclinic
- SG: C2/m

***

# 9
A plane-wave DFT calculation with PBE was carried out for a geometry-optimized AcHoMgSn2 structure.

Structure (POSCAR):
```
AcHoMgSn2
1.0
-3.7679 -2.5044 -1.4273
2.2526 -4.0239 1.1138
-1.7792 3.5560 6.3418
Ac Ho Mg Sn
1 1 1 2
direct
0.0000 0.0000 0.0000
0.7500 0.2500 0.5000
0.2500 0.7500 0.5000
0.6106 0.6106 0.2212
0.3894 0.3894 0.7788
```

Summary:
- DOS(E_F): 1.32 states/eV/cell
- Formation energy from the elements: -0.58 eV/atom
- Crystal system: tetragonal
- SG: I-4m2

***

# 10
A plane-wave DFT calculation with PBE was carried out for a geometry-optimized TbScCd structure.

Structure (POSCAR):
```
TbScCd
1.0
5.0020 0.0000 0.0000
2.5010 4.3300 0.2740
2.5010 1.1859 4.1734
Tb Sc Cd
1 1 1
direct
0.2498 0.2502 0.2502
0.7502 0.7498 0.7498
0.0001 0.0000 0.0000
```

Summary:
- DOS(E_F): 4.40 states/eV/cell
- Formation energy from the elements: 0.13 eV/atom
- Crystal system: orthorhombic
- SG: Imm2

***

# 11
A plane-wave DFT calculation with PBE was carried out for a geometry-optimized Ta2AlCd structure.

Structure (POSCAR):
```
Ta2AlCd
1.0
5.2791 -0.0170 -0.0628
2.1167 4.8362 0.0628
-3.3141 -2.9986 2.8104
Cd Al Ta
1 1 2
direct
0.2588 0.7588 0.5000
0.4963 0.4963 0.0000
0.9975 0.9975 0.0000
0.7474 0.2474 0.5000
```

Summary:
- DOS(E_F): 3.18 states/eV/cell
- Formation energy from the elements: 0.18 eV/atom
- Crystal system: orthorhombic
- SG: Imm2

***

# 12
A plane-wave DFT calculation with PBE was carried out for a geometry-optimized Ce6Co2Ru structure.

Structure (POSCAR):
```
Ce6Co2Ru
1.0
-6.0328 1.4665 0.5576
-1.5903 -4.6778 -4.9028
-0.6316 -6.9087 6.7965
Ce Co Ru
12 4 2
direct
0.8408 0.9239 0.2350
0.8387 0.6477 0.5570
0.8532 0.6804 0.9206
0.6468 0.1804 0.5794
0.6613 0.1477 0.9430
0.6592 0.4239 0.2650
0.1592 0.0761 0.7650
0.1613 0.3523 0.4430
0.1468 0.3196 0.0794
0.3532 0.8196 0.4206
0.3387 0.8523 0.0570
0.3408 0.5761 0.7350
0.9494 0.3742 0.7679
0.5506 0.8742 0.7321
0.4494 0.1258 0.2679
0.0506 0.6258 0.2321
0.5000 0.5000 0.0000
0.0000 0.0000 0.5000
```

Summary:
- DOS(E_F): 40.14 states/eV/cell
- Formation energy from the elements: -0.13 eV/atom
- Crystal system: monoclinic
- SG: P2_1/c